The following is a DFT calculation (GGA-PBE) of crystalline Nd2Zn3Pt5 at its relaxed geometry.

Computed properties:
Its crystal system is orthorhombic. Its space-group type is No. 72. As for the total moment: 0.00 μB/f.u. The electronic total energy comes out at -102.63 eV for the cell shown.

Cell: 8.7462 8.7462 8.7462 Å, 105.64 86.89 141.68°
Atoms (fractional coordinates):
Nd 0.1275 0.2267 0.3542
Nd 0.3725 0.7267 0.0992
Nd 0.6275 0.2733 0.9008
Nd 0.8725 0.7733 0.6458
Zn 0.1468 0.9071 0.0539
Zn 0.2500 0.7500 0.5000
Zn 0.3532 0.4071 0.7603
Zn 0.6468 0.5929 0.2397
Zn 0.7500 0.2500 0.5000
Zn 0.8532 0.0929 0.9461
Pt 0.0425 0.7500 0.2925
Pt 0.0992 0.6776 0.7768
Pt 0.2500 0.2500 0.0000
Pt 0.4008 0.1776 0.5784
Pt 0.4575 0.7500 0.7075
Pt 0.5425 0.2500 0.2925
Pt 0.5992 0.8224 0.4216
Pt 0.7500 0.7500 0.0000
Pt 0.9008 0.3224 0.2232
Pt 0.9575 0.2500 0.7075


The following is a DFT calculation (GGA-PBE) of crystalline NdZn9Pt2 at its relaxed geometry.

Computed properties:
Its crystal system is hexagonal. Its energy above the most stable polymorph in this dataset is 1.52 eV per formula unit. Its space-group type is No. 191. As for the total moment: 0.00 μB/f.u. The electronic total energy comes out at -31.85 eV for the cell shown.

Cell: 8.5984 8.5984 3.2636 Å, 90.00 90.00 120.00°
Atoms (fractional coordinates):
Nd 0.0000 0.0000 0.0000
Zn 0.0000 0.5000 0.0000
Zn 0.1891 0.3783 0.5000
Zn 0.1891 0.8109 0.5000
Zn 0.3783 0.1891 0.5000
Zn 0.5000 0.0000 0.0000
Zn 0.5000 0.5000 0.0000
Zn 0.6217 0.8109 0.5000
Zn 0.8109 0.1891 0.5000
Zn 0.8109 0.6217 0.5000
Pt 0.3333 0.6667 0.0000
Pt 0.6667 0.3333 0.0000


The following is a DFT calculation (GGA-PBE) of crystalline Nd2ZnPt at its relaxed geometry.

Computed properties:
Its crystal system is monoclinic. Its space-group type is No. 11. As for the total moment: 0.00 μB/f.u. The electronic total energy comes out at -39.60 eV for the cell shown.

Cell: 6.0243 4.5835 7.8360 Å, 90.00 112.03 90.00°
Atoms (fractional coordinates):
Nd 0.1837 0.2500 0.4159
Nd 0.2826 0.7500 0.0694
Nd 0.7174 0.2500 0.9306
Nd 0.8163 0.7500 0.5841
Zn 0.3716 0.7500 0.7074
Zn 0.6284 0.2500 0.2926
Pt 0.1498 0.2500 0.7881
Pt 0.8502 0.7500 0.2119


The following is a DFT calculation (GGA-PBE) of crystalline Nd2Zn5Pt at its relaxed geometry.

Computed properties:
Its crystal system is orthorhombic. Its space-group type is No. 63. As for the total moment: 0.00 μB/f.u. The electronic total energy comes out at -51.91 eV for the cell shown.

Cell: 8.4939 8.4939 9.0578 Å, 90.00 90.00 150.75°
Atoms (fractional coordinates):
Nd 0.0000 0.0000 0.0000
Nd 0.0000 0.0000 0.5000
Nd 0.1901 0.8099 0.7500
Nd 0.8099 0.1901 0.2500
Zn 0.1901 0.8099 0.1097
Zn 0.1901 0.8099 0.3903
Zn 0.3483 0.6517 0.0193
Zn 0.3483 0.6517 0.4807
Zn 0.3968 0.6032 0.7500
Zn 0.6032 0.3968 0.2500
Zn 0.6517 0.3483 0.5193
Zn 0.6517 0.3483 0.9807
Zn 0.8099 0.1901 0.6097
Zn 0.8099 0.1901 0.8903
Pt 0.4467 0.5533 0.2500
Pt 0.5533 0.4467 0.7500


The following is a DFT calculation (GGA-PBE) of crystalline NdZn2Pt10 at its relaxed geometry.

Computed properties:
Its crystal system is orthorhombic. Its space-group type is No. 69. As for the total moment: 0.00 μB/f.u. The electronic total energy comes out at -73.09 eV for the cell shown.

Cell: 9.0638 6.9924 6.8797 Å, 81.59 49.74 48.67°
Atoms (fractional coordinates):
Nd 0.0000 0.0000 0.0000
Zn 0.0000 0.0000 0.5000
Zn 0.5000 0.5000 0.0000
Pt 0.0000 0.5000 0.0000
Pt 0.0083 0.6546 0.3454
Pt 0.2817 0.5054 0.4946
Pt 0.3454 0.9917 0.0083
Pt 0.4946 0.7183 0.2817
Pt 0.5000 0.0000 0.5000
Pt 0.5054 0.2817 0.7183
Pt 0.6546 0.0083 0.9917
Pt 0.7183 0.4946 0.5054
Pt 0.9917 0.3454 0.6546


The following is a DFT calculation (GGA-PBE) of crystalline NdZrPt2 at its relaxed geometry.

Computed properties:
Its crystal system is trigonal. Its space-group type is No. 166. As for the total moment: 0.00 μB/f.u. The electronic total energy comes out at -29.07 eV for the cell shown.

Cell: 6.8152 6.8152 6.8152 Å, 35.25 35.25 35.25°
Atoms (fractional coordinates):
Nd 0.0000 0.0000 0.0000
Zr 0.5000 0.5000 0.5000
Pt 0.2362 0.2362 0.2362
Pt 0.7638 0.7638 0.7638


Number 1: DOS(E_F) 0.41 states/eV/atom. Number 2: DOS(E_F) 0.53 states/eV/atom. Number 3: DOS(E_F) 0.71 states/eV/atom. Number 4: DOS(E_F) 0.58 states/eV/atom. Number 5: DOS(E_F) 0.72 states/eV/atom. Number 6: DOS(E_F) 0.76 states/eV/atom.